1.
## AcIn12Pt6 (PBE)

Data for crystalline AcIn12Pt6 at its relaxed geometry.

## Properties
The value obtained for the formation energy is -406 meV/atom. Its volume is 22.7 Å³/atom.

Cell: 12.5252 12.5252 9.5125 Å, 90.00 90.00 120.00°
Space group R-3m (No. 166, hexagonal axes)
Symmetry-distinct sites (fractional):
Ac  0.0000  0.0000  0.0000 (multiplicity 3)
In  0.0000  0.3835  0.5000 (multiplicity 18)
In  0.0856  0.1713  0.3276 (multiplicity 18)
Pt  0.0417  0.5209  0.2508 (multiplicity 18)

=====

2.
## AlP2 (PBE)

Data for crystalline AlP2 at its relaxed geometry.

## Properties
The value obtained for the formation energy is 164 meV/atom. Its volume is 16.8 Å³/atom.

Cell: 3.6566 3.6566 3.7786 Å, 90.00 90.00 90.00°
Space group P4/mmm (No. 123)
Symmetry-distinct sites (fractional):
Al  0.0000  0.0000  0.0000 (multiplicity 1)
P  0.0000  0.5000  0.5000 (multiplicity 2)

=====

3.
## GdAsO3 (PBE)

Data for crystalline GdAsO3 at its relaxed geometry.

## Properties
Its uncorrected formation energy is -2354 meV/atom. Its volume is 14.8 Å³/atom.

Cell: 4.5371 11.4432 6.6432 Å, 90.00 121.05 90.00°
Space group P2_1/c (No. 14)
Symmetry-distinct sites (fractional):
Gd  0.1503  0.1564  0.1495 (multiplicity 4)
As  0.3300  0.0641  0.7327 (multiplicity 4)
O  0.0190  0.0439  0.8200 (multiplicity 4)
O  0.0966  0.1585  0.4810 (multiplicity 4)
O  0.4486  0.6823  0.5586 (multiplicity 4)

=====

4.
## Cs2In2Au (PBE)

Data for crystalline Cs2In2Au at its relaxed geometry.

## Properties
The value obtained for the formation energy is -149 meV/atom. Its volume is 42.0 Å³/atom.

Cell: 14.8930 4.8648 13.3726 Å, 90.00 119.79 90.00°
Space group C2/m (No. 12)
Symmetry-distinct sites (fractional):
Cs  0.0176  0.0000  0.1592 (multiplicity 4)
Cs  0.2117  0.0000  0.6173 (multiplicity 4)
In  0.0037  0.5000  0.6161 (multiplicity 4)
In  0.2110  0.5000  0.0622 (multiplicity 4)
Au  0.1839  0.5000  0.8317 (multiplicity 4)

=====

Copy entry 1 word for word.
## AcIn12Pt6 (PBE)

Data for crystalline AcIn12Pt6 at its relaxed geometry.

## Properties
The value obtained for the formation energy is -406 meV/atom. Its volume is 22.7 Å³/atom.

Cell: 12.5252 12.5252 9.5125 Å, 90.00 90.00 120.00°
Space group R-3m (No. 166, hexagonal axes)
Symmetry-distinct sites (fractional):
Ac  0.0000  0.0000  0.0000 (multiplicity 3)
In  0.0000  0.3835  0.5000 (multiplicity 18)
In  0.0856  0.1713  0.3276 (multiplicity 18)
Pt  0.0417  0.5209  0.2508 (multiplicity 18)